{
  "formula": "BaSrMg",
  "functional": "PBEsol",
  "state": "relaxed",
  "lattice_angstrom": [[-2.1640, 5.1615, -2.0183], [0.5321, 1.4006, -5.7579], [-4.8055, 0.0427, -3.5076]],
  "species": ["Mg", "Sr", "Ba"],
  "frac_coords": [[0.2500, 0.2500, 0.2500], [0.0000, 0.0000, 0.0000], [0.5000, 0.5000, 0.5000]],
  "m_tot_mub_per_atom": 0.000,
  "vol_a3_per_cell": 148.9,
  "polymorph_energy_mev_per_atom": 189,
  "space_group": "F-43m, No. 216",
  "e_form_ev_per_atom": 0.1515
}

---

{
  "formula": "PrMgCd2",
  "functional": "PBEsol",
  "state": "relaxed",
  "lattice_angstrom": [[-4.5568, -0.4855, -2.3192], [-0.2565, -0.2966, -5.1211], [-1.2743, -4.4352, -2.2548]],
  "species": ["Mg", "Pr", "Cd", "Cd"],
  "frac_coords": [[0.5000, 0.5000, 0.5000], [0.0000, 0.0000, 0.0000], [0.2500, 0.2500, 0.2500], [0.7500, 0.7500, 0.7500]],
  "m_tot_mub_per_atom": 0.000,
  "vol_a3_per_cell": 95.8,
  "space_group": "Fm-3m, No. 225",
  "e_form_ev_per_atom": -0.3584
}